## Re2NiOsSe (meta-GGA SCAN)

Data for Re2NiOsSe at its PBEsol-relaxed geometry.

Cell and atoms, written as POSCAR:
```
Re2NiOsSe
1.0
4.7048 0.0000 0.0000
0.0000 4.7048 0.0000
0.0000 0.0000 4.4165
Re Ni Os Se
2 1 1 1
direct
0.0000 0.5000 0.0000
0.5000 0.0000 0.0000
0.0000 0.0000 0.5000
0.0000 0.0000 0.0000
0.5000 0.5000 0.5000
```

Computed properties:
For the total energy, the calculation gives -3.5290 Ry per atom. The calculation puts the uncorrected formation energy at 2.051 eV/atom. The value obtained for the density of states at the Fermi level is 4.5 states/eV/cell. Its space-group type is P4/mmm (123).

## NiOs2Rh (meta-GGA SCAN)

Data for NiOs2Rh at its PBEsol-relaxed geometry.

Cell and atoms, written as POSCAR:
```
NiOs2Rh
1.0
2.6166 -3.7936 0.0000
2.6166 3.7936 0.0000
0.0000 0.0000 2.6365
Ni Os Rh
1 2 1
direct
0.0000 0.0000 0.0000
0.0000 0.5000 0.5000
0.5000 0.0000 0.5000
0.5000 0.5000 0.0000
```

Computed properties:
For the total energy, the calculation gives -3.5421 Ry per atom. The value obtained for the density of states at the Fermi level is 3.9 states/eV/cell. Its space-group type is Cmmm (65).

## NiOs2Rh (meta-GGA SCAN)

Data for NiOs2Rh at its PBEsol-relaxed geometry.

Cell and atoms, written as POSCAR:
```
NiOs2Rh
1.0
4.4626 0.0000 0.0000
0.0000 4.4626 0.0000
0.0000 0.0000 2.6686
Ni Os Rh
1 2 1
direct
0.0000 0.0000 0.0000
0.0000 0.5000 0.5000
0.5000 0.0000 0.5000
0.5000 0.5000 0.0000
```

Computed properties:
For the total energy, the calculation gives -3.5196 Ry per atom. The value obtained for the density of states at the Fermi level is 4.8 states/eV/cell. Its space-group type is P4/mmm (123).

## NiOs2Rh (meta-GGA SCAN)

Data for NiOs2Rh at its PBEsol-relaxed geometry.

Cell and atoms, written as POSCAR:
```
NiOs2Rh
1.0
3.7134 0.0000 0.0000
0.0000 3.7134 0.0000
0.0000 0.0000 3.7948
Ni Os Rh
1 2 1
direct
0.0000 0.0000 0.0000
0.0000 0.5000 0.5000
0.5000 0.0000 0.5000
0.5000 0.5000 0.0000
```

Computed properties:
For the total energy, the calculation gives -3.5402 Ry per atom. The value obtained for the density of states at the Fermi level is 5.2 states/eV/cell. Its space-group type is P4/mmm (123).